Record 1
Below is RhC3 at its PBEsol-relaxed geometry, with properties calculated at the SCAN level.

Properties
ΔE_f	2.372	eV per atom
energy above the most stable polymorph in this dataset	1.2206	eV/atom
density of states at the Fermi level	4.4	states/eV/cell

Unit cell a=4.078 b=4.078 c=4.078 alpha=90.00 beta=90.00 gamma=90.00
Space group Im-3m (No. 229)
Unique sites:
Rh  0.000  0.000  0.000 x2
C  0.000  0.000  0.500 x6

***

Record 2
Below is Y2CoPt at its PBEsol-relaxed geometry, with properties calculated at the SCAN level.

Properties
ΔE_f	-0.775	eV per atom
density of states at the Fermi level	4.0	states/eV/cell

Unit cell a=3.969 b=3.886 c=10.514 alpha=90.00 beta=90.00 gamma=90.00
Space group Amm2 (No. 38)
Unique sites:
Y  0.000  0.000  0.000 x2
Y  0.500  0.000  0.291 x2
Co  0.500  0.000  0.565 x2
Pt  0.000  0.000  0.716 x2

***

- Which of these has the lowest density of states at the Fermi level?
  Y2CoPt